# MgFe2Co

A relaxed structure of MgFe2Co (PBE, Alexandria).

Output
formation energy: 113 meV per atom
calculated total energy: -25.173 eV per cell
N(E_F): 0.871 states/eV/atom

abc: 2.995 2.995 5.939
angles: 90.00 90.00 90.00
Space group P4mm (No. 99)
Unique sites:
Mg 0.000 0.000 0.000 [1 per cell]
Fe 0.000 0.000 0.489 [1 per cell]
Fe 0.500 0.500 0.701 [1 per cell]
Co 0.500 0.500 0.283 [1 per cell]